Computed, not measured: a relaxed structure of Y3Co5O12 at the GGA+U level of DFT.

crystal system = cubic
V = 11.5 A^3/atom
raw total energy = -0.2624 Ha/atom

a b c (Å): 10.623 10.623 10.623
angles (deg): 109.47 109.47 109.47
Fractional positions:
1 Y 0.125 0.250 0.375
2 Y 0.125 0.375 0.750
3 Y 0.250 0.375 0.125
4 Y 0.250 0.875 0.625
5 Y 0.375 0.125 0.250
6 Y 0.375 0.750 0.125
7 Y 0.625 0.250 0.875
8 Y 0.625 0.875 0.750
9 Y 0.750 0.125 0.375
10 Y 0.750 0.625 0.875
11 Y 0.875 0.625 0.250
12 Y 0.875 0.750 0.625
13 Co 0.000 0.000 0.000
14 Co 0.000 0.000 0.500
15 Co 0.000 0.500 0.000
16 Co 0.000 0.500 0.500
17 Co 0.125 0.750 0.875
18 Co 0.125 0.875 0.250
19 Co 0.250 0.125 0.875
20 Co 0.250 0.625 0.375
21 Co 0.375 0.250 0.625
22 Co 0.375 0.625 0.750
23 Co 0.500 0.000 0.000
24 Co 0.500 0.000 0.500
25 Co 0.500 0.500 0.000
26 Co 0.500 0.500 0.500
27 Co 0.625 0.375 0.250
28 Co 0.625 0.750 0.375
29 Co 0.750 0.375 0.625
30 Co 0.750 0.875 0.125
31 Co 0.875 0.125 0.750
32 Co 0.875 0.250 0.125
33 O 0.027 0.201 0.121
34 O 0.027 0.326 0.906
35 O 0.080 0.701 0.674
36 O 0.080 0.879 0.406
37 O 0.094 0.621 0.420
38 O 0.094 0.973 0.674
39 O 0.121 0.027 0.201
40 O 0.121 0.594 0.920
41 O 0.174 0.201 0.580
42 O 0.174 0.473 0.594
43 O 0.201 0.121 0.027
44 O 0.201 0.580 0.174
45 O 0.299 0.326 0.920
46 O 0.299 0.473 0.379
47 O 0.326 0.906 0.027
48 O 0.326 0.920 0.299
49 O 0.379 0.299 0.473
50 O 0.379 0.580 0.906
51 O 0.406 0.080 0.879
52 O 0.406 0.826 0.527
53 O 0.420 0.094 0.621
54 O 0.420 0.826 0.799
55 O 0.473 0.379 0.299
56 O 0.473 0.594 0.174
57 O 0.527 0.406 0.826
58 O 0.527 0.621 0.701
59 O 0.580 0.174 0.201
60 O 0.580 0.906 0.379
61 O 0.594 0.174 0.473
62 O 0.594 0.920 0.121
63 O 0.621 0.420 0.094
64 O 0.621 0.701 0.527
65 O 0.674 0.080 0.701
66 O 0.674 0.094 0.973
67 O 0.701 0.527 0.621
68 O 0.701 0.674 0.080
69 O 0.799 0.420 0.826
70 O 0.799 0.879 0.973
71 O 0.826 0.527 0.406
72 O 0.826 0.799 0.420
73 O 0.879 0.406 0.080
74 O 0.879 0.973 0.799
75 O 0.906 0.027 0.326
76 O 0.906 0.379 0.580
77 O 0.920 0.121 0.594
78 O 0.920 0.299 0.326
79 O 0.973 0.674 0.094
80 O 0.973 0.799 0.879